1.
DFT (PBE) results for crystalline BaPm6Pb4 at its relaxed geometry.

Density, Mg/m³: 7.9
DFT total energy, eV per atom: -4.515
Formation enthalpy at 0 K, meV/atom: -401

Cell: 9.9480 9.9480 4.4838 Å, 90.00 90.00 120.00°
Closest atoms and distances in Å follow each position.
Space group P-6m2 (No. 187)
Symmetry-distinct sites (fractional):
1 Ba 0.0000 0.0000 0.0000  6 Pb 3.74, 6 Pm 4.08
2 Pm 0.1976 0.3952 0.5000  4 Pb 3.22-3.24
3 Pm 0.5396 0.0791 0.0000  5 Pb 3.37-3.55
4 Pb 0.3333 0.6667 0.0000  9 Pm 3.24-3.55
5 Pb 0.3471 0.1736 0.5000  6 Pm 3.22-3.37


2.
DFT (PBE) results for crystalline AcPr2Nd6Dy at its relaxed geometry.

Density, Mg/m³: 7.0
DFT total energy, eV per atom: -4.573
Formation enthalpy at 0 K, meV/atom: 115

Cell: 9.4063 15.7302 9.9025 Å, 90.00 96.22 90.00°
Closest atoms and distances in Å follow each position.
Space group C2/c (No. 15)
Symmetry-distinct sites (fractional):
1 Ac 0.0000 0.0223 0.2500  4 Pr 3.54-3.62, 4 Nd 3.78-3.88
2 Pr 0.2447 0.4428 0.4551  6 Nd 3.36-3.70, 2 Ac 3.54-3.62, 1 Dy 3.71
3 Nd 0.0617 0.1906 0.9452  7 Nd 3.54-3.91, 1 Pr 3.66, 1 Ac 3.88
4 Nd 0.1038 0.3946 0.1169  3 Pr 3.36-3.55, 4 Nd 3.37-3.63, 2 Dy 3.52-3.67
5 Nd 0.2101 0.2258 0.3113  4 Nd 3.37-3.74, 2 Pr 3.51-3.70, 1 Dy 3.57
6 Dy 0.0000 0.4102 0.7500  6 Nd 3.52-3.67, 4 Pr 3.71-3.94


- Among the records above, which one has the lowest DFT total energy?
  AcPr2Nd6Dy


- Which formula does entry 1 have?
  BaPm6Pb4


- What is the formation enthalpy at 0 K in the first record?
  -401 meV/atom